The following is a DFT calculation (GGA+U) of an optimized crystal structure of MnHF4.

The structure in POSCAR format:
```
MnHF4
1.0
-2.603 2.603 2.500
2.603 -2.603 2.500
2.603 2.603 -2.500
Mn H F
1 1 4
Direct
0.000 0.000 0.000
0.250 0.750 0.500
0.223 0.391 0.466
0.243 0.777 0.168
0.609 0.075 0.832
0.925 0.757 0.534
```

Values from the calculation:
The space group is I-4 (82). The crystal system is tetragonal. Its density of states at the Fermi level is 0.000 states/eV per atom. The energy above the lowest structure with this stoichiometry is 0.3002 eV per atom.